! AcNd3Y6Er2, relaxed, DFT PBE-GGA; values from VASP
&SYSTEM
  ibrav = 0, nat = 12, ntyp = 4
/
ATOMIC_SPECIES
Ac 227.00 Ac.upf
Nd 144.24 Nd.upf
Y 88.91 Y.upf
Er 167.26 Er.upf
ATOMIC_POSITIONS angstrom
Ac 0.000 0.000 0.000
Nd -5.507 0.995 4.569
Nd -6.388 2.266 -2.500
Nd -5.947 1.631 1.034
Y -9.129 2.775 -0.233
Y -4.813 -1.700 0.294
Y -2.766 0.487 2.302
Y -8.684 2.133 3.335
Y -7.082 4.961 1.774
Y -3.211 1.129 -1.267
Er -1.619 -2.850 1.544
Er -2.060 -2.214 -1.996
CELL_PARAMETERS angstrom
-2.501 -1.578 -5.534
-1.178 -3.486 5.082
-8.216 8.326 2.520
! calculated density	6.3	g/cm3
! E_form	0.024	eV/atom
! total magnetic moment	0.0	μB/f.u.
! space-group type	C2/m